[1]
# Ba2NaZn3Ag12 | Alexandria via LeMat-Bulk | PBE | relaxed
data_Ba2NaZn3Ag12
_chemical_formula_sum 'Ba2 Na1 Zn3 Ag12'
_symmetry_space_group_name_H-M 'P 1'
_symmetry_Int_Tables_number 1
_cell_length_a 8.9437
_cell_length_b 8.9437
_cell_length_c 8.9437
_cell_angle_alpha 57.63
_cell_angle_beta 57.63
_cell_angle_gamma 57.63
loop_
_symmetry_equiv_pos_as_xyz
'x,y,z'
loop_
_atom_site_label
_atom_site_type_symbol
_atom_site_fract_x
_atom_site_fract_y
_atom_site_fract_z
Ba1 Ba 0.1139 0.1139 0.1139
Ba2 Ba 0.8861 0.8861 0.8861
Na1 Na 0.5000 0.5000 0.5000
Zn1 Zn 0.0000 0.5000 0.5000
Zn2 Zn 0.5000 0.0000 0.5000
Zn3 Zn 0.5000 0.5000 0.0000
Ag1 Ag 0.0927 0.6292 0.6292
Ag2 Ag 0.1433 0.1433 0.6236
Ag3 Ag 0.1433 0.6236 0.1433
Ag4 Ag 0.3708 0.3708 0.9073
Ag5 Ag 0.3708 0.9073 0.3708
Ag6 Ag 0.3764 0.8567 0.8567
Ag7 Ag 0.6236 0.1433 0.1433
Ag8 Ag 0.6292 0.0927 0.6292
Ag9 Ag 0.6292 0.6292 0.0927
Ag10 Ag 0.8567 0.3764 0.8567
Ag11 Ag 0.8567 0.8567 0.3764
Ag12 Ag 0.9073 0.3708 0.3708
# Uncorrected energy = -39.4 eV/cell
# Energy of formation from the pure elements = 209 meV per atom

=====

[2]
# Sr4ZnHg | Alexandria via LeMat-Bulk | PBE | relaxed
data_Sr4ZnHg
_chemical_formula_sum 'Sr4 Zn1 Hg1'
_symmetry_space_group_name_H-M 'P 1'
_symmetry_Int_Tables_number 1
_cell_length_a 5.6518
_cell_length_b 5.6518
_cell_length_c 9.5635
_cell_angle_alpha 107.28
_cell_angle_beta 107.28
_cell_angle_gamma 60.12
loop_
_symmetry_equiv_pos_as_xyz
'x,y,z'
loop_
_atom_site_label
_atom_site_type_symbol
_atom_site_fract_x
_atom_site_fract_y
_atom_site_fract_z
Sr1 Sr 0.1239 0.1239 0.3722
Sr2 Sr 0.3731 0.3731 0.1192
Sr3 Sr 0.6269 0.6269 0.8808
Sr4 Sr 0.8761 0.8761 0.6278
Zn1 Zn 0.0000 0.0000 0.0000
Hg1 Hg 0.5000 0.5000 0.5000
# Polymorph energy (0 for the lowest one) = 112 meV per atom
# Uncorrected energy = -9.2 eV/cell
# Energy of formation from the pure elements = -142 meV per atom

=====

[3]
# Dy2ScHg | Alexandria via LeMat-Bulk | PBE | relaxed
data_Dy2ScHg
_chemical_formula_sum 'Dy2 Sc1 Hg1'
_symmetry_space_group_name_H-M 'P 1'
_symmetry_Int_Tables_number 1
_cell_length_a 3.5575
_cell_length_b 3.5575
_cell_length_c 8.5549
_cell_angle_alpha 90.00
_cell_angle_beta 90.00
_cell_angle_gamma 90.00
loop_
_symmetry_equiv_pos_as_xyz
'x,y,z'
loop_
_atom_site_label
_atom_site_type_symbol
_atom_site_fract_x
_atom_site_fract_y
_atom_site_fract_z
Dy1 Dy 0.0000 0.0000 0.2381
Dy2 Dy 0.0000 0.0000 0.7619
Sc1 Sc 0.5000 0.5000 0.5000
Hg1 Hg 0.5000 0.5000 0.0000
# Polymorph energy (0 for the lowest one) = 0 meV per atom
# Uncorrected energy = -16.7 eV/cell
# Energy of formation from the pure elements = -206 meV per atom

=====

[4]
# CsKNF2 | Alexandria via LeMat-Bulk | PBE | relaxed
data_CsKNF2
_chemical_formula_sum 'Cs1 K1 N1 F2'
_symmetry_space_group_name_H-M 'P 1'
_symmetry_Int_Tables_number 1
_cell_length_a 5.4483
_cell_length_b 5.4483
_cell_length_c 5.0993
_cell_angle_alpha 90.00
_cell_angle_beta 90.00
_cell_angle_gamma 90.00
loop_
_symmetry_equiv_pos_as_xyz
'x,y,z'
loop_
_atom_site_label
_atom_site_type_symbol
_atom_site_fract_x
_atom_site_fract_y
_atom_site_fract_z
Cs1 Cs 0.0000 0.0000 0.0000
K1 K 0.5000 0.5000 0.5000
N1 N 0.0000 0.0000 0.5000
F1 F 0.0000 0.5000 0.0000
F2 F 0.5000 0.0000 0.0000
# Polymorph energy (0 for the lowest one) = 279 meV per atom
# Uncorrected energy = -17.1 eV/cell
# Uncorrected formation energy = -293.6 kJ/mol of formula units

=====

- Which of these has the highest uncorrected energy?
  Sr4ZnHg